The following is a PBE-GGA calculation of an optimized crystal structure of BeCu2Ru, from the Alexandria database.

Results
total magnetic moment: 0.000 μB per formula unit
E_form: 205 meV/atom
uncorrected energy: -5.09 eV/atom
symmetry: Cmmm, No. 65

a b c (Å): 2.5254 2.5254 8.1956
angles (deg): 90.00 90.00 114.35
Last column: nearest neighbours and their distance in Å.
Element x y z (fractional)
Ru1 0.5000 0.5000 0.2500  6 Ru 2.53-2.74, 4 Cu 2.66
Cu1 0.0000 0.0000 0.9721  2 Be 2.28, 4 Cu 2.53
Cu2 0.0000 0.0000 0.5279  2 Be 2.28, 4 Cu 2.53
Be1 0.5000 0.5000 0.7500  4 Cu 2.28, 4 Be 2.53